(1)
16
Lattice="-1.2794 -4.6033 -1.9264 -0.8309 -1.7644 4.7681 -19.5629 5.9435 -1.2096" Properties=species:S:1:pos:R:3 comment="La12ThMg3 PBE relaxed" magmom_total_mub_per_cell=0.00 rho_g_cm3=6.0 dft_energy_ev_per_atom=-4.469 pbc="T T T"
Th 0.0000 0.0000 0.0000
La -12.8642 1.4124 -1.7191
La -1.0552 -3.1839 1.4208
Mg -9.7815 2.9718 -0.6048
Mg -14.6246 4.4432 -0.9043
La -6.0001 -1.6815 1.1151
La -2.8264 -0.1497 2.2350
La -12.6399 2.8318 1.6282
La -10.8366 -0.2121 0.8160
Mg -4.9383 1.5003 -0.3054
La -3.0507 -1.5691 -1.1123
La -15.6731 1.2573 0.5170
La -17.5674 4.3288 1.3235
La -7.7539 1.3473 1.9303
La -17.7917 2.9094 -2.0238
La -7.9782 -0.0721 -1.4170

---

(2)
5
Lattice="-3.2908 0.5809 -3.5049 2.8679 -2.3855 -3.0880 -2.2937 -4.5657 1.3968" Properties=species:S:1:pos:R:3 comment="MgAs2SBr PBE relaxed" magmom_total_mub_per_cell=0.33 rho_g_cm3=3.8 polymorph_energy_mev_per_atom=0 raw_formation_energy_ev_per_atom=0.458 dft_energy_ev_per_atom=-2.881 pbc="T T T"
S 0.0000 0.0000 0.0000
As -1.6454 0.2905 -1.7525
As 1.4339 -1.1927 -1.5440
Mg -1.3583 -3.1851 -2.5981
Br -1.1468 -2.2828 0.6984

---

(3)
4
Lattice="1.7999 -3.1724 2.8980 -1.2937 -4.4626 -0.3373 3.0026 -3.1809 -1.6026" Properties=species:S:1:pos:R:3 comment="HgBiB2 PBE relaxed" magmom_total_mub_per_cell=0.00 rho_g_cm3=10.0 polymorph_energy_mev_per_atom=468 dft_energy_ev_per_atom=-2.718 pbc="T T T"
Hg 0.0000 0.0000 0.0000
B 0.8772 -2.7040 0.2395
B 2.6317 -8.1119 0.7186
Bi 1.7544 -5.4079 0.4791

---

(4)
4
Lattice="-1.8019 2.5980 -0.7629 -1.3254 -0.0471 2.9698 4.7333 3.9215 2.1746" Properties=species:S:1:pos:R:3 comment="U2SeN PBE relaxed" magmom_total_mub_per_cell=1.27 rho_g_cm3=13.7 polymorph_energy_mev_per_atom=316 raw_formation_energy_ev_per_atom=-0.486 dft_energy_ev_per_atom=-9.082 pbc="T T T"
N -1.5637 1.2754 1.1034
U 0.8746 0.7246 0.4018
Se 0.8030 3.2362 2.1907
U 3.8587 3.1969 1.7728

---

(5)
10
Lattice="4.6232 0.0000 0.0000 0.0000 4.6232 0.0000 0.0000 0.0000 10.9986" Properties=species:S:1:pos:R:3 comment="Ac2Ga3Ag4Hg PBE relaxed" magmom_total_mub_per_cell=0.00 rho_g_cm3=9.1 dft_energy_ev_per_atom=-3.229 pbc="T T T"
Ac 0.0000 2.3116 8.3102
Hg 2.3116 2.3116 5.4993
Ag 0.0000 2.3116 3.9272
Ga 2.3116 0.0000 9.6383
Ac 2.3116 0.0000 2.6883
Ga 0.0000 0.0000 5.4993
Ga 0.0000 2.3116 1.3603
Ag 0.0000 0.0000 0.0000
Ag 2.3116 2.3116 0.0000
Ag 2.3116 0.0000 7.0713

---

(6)
5
Lattice="4.1933 0.0000 0.0000 0.0000 4.1933 0.0000 0.0000 0.0000 4.1933" Properties=species:S:1:pos:R:3 comment="PSeF3 PBE relaxed" magmom_total_mub_per_cell=2.00 rho_g_cm3=3.8 polymorph_energy_mev_per_atom=1106 raw_formation_energy_ev_per_atom=-0.641 dft_energy_ev_per_atom=-3.543 pbc="T T T"
Se 2.0967 2.0967 2.0967
F 0.0000 0.0000 2.0967
F 2.0967 0.0000 0.0000
P 0.0000 0.0000 0.0000
F 0.0000 2.0967 0.0000

---

(7)
4
Lattice="-2.8912 0.9665 -0.0327 -0.9414 -2.8365 -0.6016 -0.6553 -1.6604 8.8535" Properties=species:S:1:pos:R:3 comment="TcSb PBE relaxed" magmom_total_mub_per_cell=0.00 rho_g_cm3=8.7 polymorph_energy_mev_per_atom=0 raw_formation_energy_ev_per_atom=0.060 dft_energy_ev_per_atom=-7.184 pbc="T T T"
Tc -2.3839 -2.1197 6.0001
Sb -0.6047 -1.5323 8.1705
Sb -2.1307 -1.4782 2.5793
Tc -0.3515 -0.8907 4.7496

---

(8)
4
Lattice="-3.6442 1.3980 3.9373 1.3729 -0.4922 5.3488 0.8441 4.5360 3.0740" Properties=species:S:1:pos:R:3 comment="PrSmThHg PBE relaxed" magmom_total_mub_per_cell=0.15 rho_g_cm3=10.0 dft_energy_ev_per_atom=-4.263 pbc="T T T"
Hg -1.0704 4.0814 9.2701
Sm 0.0000 0.0000 0.0000
Th -0.3568 1.3605 3.0900
Pr -0.7136 2.7209 6.1801

---

Question: Number 8 is which compound?
Answer: PrSmThHg